# 1
# RbScI3

A geometry-optimized RbScI3 structure (PBE-GGA, Alexandria via LeMat-Bulk).

Geometry as POSCAR:
```
RbScI3
1.0
5.9072 0.0000 0.0000
0.0000 5.9072 0.0000
0.0000 0.0000 5.9072
Rb Sc I
1 1 3
direct
0.0000 0.0000 0.0000
0.5000 0.5000 0.5000
0.0000 0.5000 0.5000
0.5000 0.0000 0.5000
0.5000 0.5000 0.0000
```

Output
Its symmetry is Pm-3m (221).

# 2
# RbScI4

A geometry-optimized RbScI4 structure (PBE-GGA, Alexandria via LeMat-Bulk).

Geometry as POSCAR:
```
RbScI4
1.0
5.5071 -8.5934 0.0000
5.5071 8.5934 0.0000
-2.1906 0.0000 7.2279
Rb Sc I
2 2 8
direct
0.2483 0.7517 0.7500
0.7517 0.2483 0.2500
0.0671 0.9329 0.2500
0.9329 0.0671 0.7500
0.0062 0.6437 0.2922
0.0958 0.2085 0.1399
0.2085 0.0958 0.6399
0.3563 0.9938 0.2078
0.6437 0.0062 0.7922
0.7915 0.9042 0.3601
0.9042 0.7915 0.8601
0.9938 0.3563 0.7078
```

Output
Its symmetry is C2/c (15).

# 3
# RbSc2I

A geometry-optimized RbSc2I structure (PBE-GGA, Alexandria via LeMat-Bulk).

Geometry as POSCAR:
```
RbSc2I
1.0
1.8184 1.0499 11.7361
-1.8184 1.0499 11.7361
0.0000 -2.0997 11.7361
Rb Sc I
1 2 1
direct
0.0000 0.0000 0.0000
0.1018 0.1018 0.1018
0.8982 0.8982 0.8982
0.5000 0.5000 0.5000
```

Output
Its symmetry is R-3m (166).

# 4
# Rb3Sc2I9

A geometry-optimized Rb3Sc2I9 structure (PBE-GGA, Alexandria via LeMat-Bulk).

Geometry as POSCAR:
```
Rb3Sc2I9
1.0
7.1546 4.1307 7.1113
-7.1546 4.1307 7.1113
0.0000 -8.2614 7.1113
Rb Sc I
6 4 18
direct
0.0813 0.7500 0.4187
0.2500 0.5813 0.9187
0.4187 0.0813 0.7500
0.5813 0.9187 0.2500
0.7500 0.4187 0.0813
0.9187 0.2500 0.5813
0.1583 0.1583 0.1583
0.3417 0.3417 0.3417
0.6583 0.6583 0.6583
0.8417 0.8417 0.8417
0.0758 0.9109 0.7351
0.0891 0.2649 0.9242
0.0908 0.4092 0.2500
0.2351 0.4109 0.5758
0.2500 0.0908 0.4092
0.2649 0.9242 0.0891
0.4092 0.2500 0.0908
0.4109 0.5758 0.2351
0.4242 0.7649 0.5891
0.5758 0.2351 0.4109
0.5891 0.4242 0.7649
0.5908 0.7500 0.9092
0.7351 0.0758 0.9109
0.7500 0.9092 0.5908
0.7649 0.5891 0.4242
0.9092 0.5908 0.7500
0.9109 0.7351 0.0758
0.9242 0.0891 0.2649
```

Output
Its symmetry is R-3c (167).

# 5
# Rb2ScI4

A geometry-optimized Rb2ScI4 structure (PBE-GGA, Alexandria via LeMat-Bulk).

Geometry as POSCAR:
```
Rb2ScI4
1.0
-2.9215 2.9215 9.3259
2.9215 -2.9215 9.3259
2.9215 2.9215 -9.3259
Rb Sc I
2 1 4
direct
0.1406 0.1406 0.0000
0.8594 0.8594 0.0000
0.5000 0.5000 0.0000
0.0000 0.5000 0.5000
0.3378 0.3378 0.0000
0.5000 0.0000 0.5000
0.6622 0.6622 0.0000
```

Output
Its symmetry is I4/mmm (139).

# 6
# Rb2ScI4

A geometry-optimized Rb2ScI4 structure (PBE-GGA, Alexandria via LeMat-Bulk).

Geometry as POSCAR:
```
Rb2ScI4
1.0
8.6372 0.0000 0.0000
0.0000 8.4040 0.0000
-3.1028 0.0000 9.6946
Rb Sc I
4 2 8
direct
0.2191 0.2500 0.0569
0.2531 0.2500 0.5614
0.7469 0.7500 0.4386
0.7809 0.7500 0.9431
0.2423 0.7500 0.8068
0.7577 0.2500 0.1932
0.0079 0.0010 0.7450
0.0079 0.4990 0.7450
0.4304 0.7500 0.6217
0.4306 0.7500 0.0893
0.5694 0.2500 0.9107
0.5696 0.2500 0.3783
0.9921 0.5010 0.2550
0.9921 0.9990 0.2550
```

Output
Its symmetry is P2_1/m (11).

# 7
# Rb2ScI5

A geometry-optimized Rb2ScI5 structure (PBE-GGA, Alexandria via LeMat-Bulk).

Geometry as POSCAR:
```
Rb2ScI5
1.0
-4.4004 4.4004 5.2249
4.4004 -4.4004 5.2249
4.4004 4.4004 -5.2249
Rb Sc I
2 1 5
direct
0.0000 0.5000 0.5000
0.5000 0.0000 0.5000
0.2066 0.2066 0.0000
0.0310 0.0310 0.5476
0.0310 0.4834 0.0000
0.4834 0.0310 0.0000
0.4834 0.4834 0.4524
0.9500 0.9500 0.0000
```

Output
Its symmetry is I4mm (107).

# 8
# Rb3ScI6

A geometry-optimized Rb3ScI6 structure (PBE-GGA, Alexandria via LeMat-Bulk).

Geometry as POSCAR:
```
Rb3ScI6
1.0
8.5792 0.0000 0.0000
0.0000 9.1535 0.0000
-8.4157 0.0000 12.3007
Rb Sc I
6 2 12
direct
0.0000 0.0000 0.0000
0.0000 0.5000 0.5000
0.2147 0.0835 0.7481
0.2147 0.4165 0.2481
0.7853 0.5835 0.7519
0.7853 0.9165 0.2519
0.5000 0.0000 0.5000
0.5000 0.5000 0.0000
0.1696 0.1690 0.4461
0.1696 0.3310 0.9461
0.2759 0.7306 0.4326
0.2759 0.7694 0.9326
0.4023 0.0413 0.2804
0.4023 0.4587 0.7804
0.5977 0.5413 0.2196
0.5977 0.9587 0.7196
0.7241 0.2306 0.0674
0.7241 0.2694 0.5674
0.8304 0.6690 0.0539
0.8304 0.8310 0.5539
```

Output
Its symmetry is P2_1/c (14).

# 9
# Rb4ScI7

A geometry-optimized Rb4ScI7 structure (PBE-GGA, Alexandria via LeMat-Bulk).

Geometry as POSCAR:
```
Rb4ScI7
1.0
9.7594 -2.8803 0.0000
9.7594 2.8803 0.0000
-9.1006 0.0000 11.2280
Rb Sc I
4 1 7
direct
0.1133 0.1133 0.2653
0.2306 0.2306 0.8568
0.7694 0.7694 0.1432
0.8867 0.8867 0.7347
0.5000 0.5000 0.5000
0.0000 0.0000 0.5000
0.1282 0.1282 0.0064
0.2399 0.2399 0.6149
0.4506 0.4506 0.2760
0.5494 0.5494 0.7240
0.7601 0.7601 0.3851
0.8718 0.8718 0.9936
```

Output
Its symmetry is C2/m (12).

# 10
# RbSc4I8

A geometry-optimized RbSc4I8 structure (PBE-GGA, Alexandria via LeMat-Bulk).

Geometry as POSCAR:
```
RbSc4I8
1.0
6.9691 -4.0939 0.0000
6.9691 4.0939 0.0000
-6.3019 0.0000 9.1282
Rb Sc I
1 4 8
direct
0.0000 0.0000 0.0000
0.2844 0.2844 0.5110
0.3053 0.6947 0.5000
0.6947 0.3053 0.5000
0.7156 0.7156 0.4890
0.0141 0.5009 0.6989
0.0147 0.0147 0.3374
0.4676 0.4676 0.2561
0.4991 0.9859 0.3011
0.5009 0.0141 0.6989
0.5324 0.5324 0.7439
0.9853 0.9853 0.6626
0.9859 0.4991 0.3011
```

Output
Its symmetry is C2/m (12).

# 11
# RbScI2

A geometry-optimized RbScI2 structure (PBE-GGA, Alexandria via LeMat-Bulk).

Geometry as POSCAR:
```
RbScI2
1.0
-3.7234 3.7234 7.4841
3.7234 -3.7234 7.4841
3.7234 3.7234 -7.4841
Rb Sc I
2 2 4
direct
0.0000 0.0000 0.0000
0.7500 0.2500 0.5000
0.2500 0.7500 0.5000
0.5000 0.5000 0.0000
0.2100 0.6250 0.0850
0.3750 0.4600 0.5850
0.5400 0.1250 0.9150
0.8750 0.7900 0.4150
```

Output
Its symmetry is I-42d (122).

# 12
# Rb2ScI6

A geometry-optimized Rb2ScI6 structure (PBE-GGA, Alexandria via LeMat-Bulk).

Geometry as POSCAR:
```
Rb2ScI6
1.0
3.8522 0.0000 0.0000
0.0000 9.3753 5.4270
0.0000 -9.3753 5.4270
Rb Sc I
2 1 6
direct
0.0000 0.1664 0.8336
0.0000 0.8336 0.1664
0.5000 0.5035 0.5035
0.0000 0.3001 0.5035
0.0000 0.5035 0.3001
0.0000 0.7070 0.7070
0.5000 0.0618 0.0618
0.5000 0.5001 0.9431
0.5000 0.9431 0.5001
```

Output
Its symmetry is Amm2 (38).

Total energy (computed, eV/cell): -17.8; -42.8; -14.3; -96.8; -23.3; -45.9; -26.7; -64.9; -35.6; -52.8; -26.0; -27.2
Formation energy (no corrections) (computed, eV/f.u.): -5.82; -7.89; 0.90; -18.87; -8.84; -8.47; -10.70; -13.93; -14.52; -14.13; -2.59; -9.60